Record 1
The following is a DFT calculation (PBE) of a geometry-optimized TbPRh3 structure.

Cell and atoms, written as extended XYZ:
```
10
Lattice="6.299 0.000 0.000 0.000 6.167 0.000 -3.149 -3.083 4.585" Properties=species:S:1:pos:R:3 pbc="T T T"
Tb 0.000 0.172 2.292
Tb 3.149 2.911 2.292
P 0.000 3.083 0.000
P 3.149 0.000 0.000
Rh 1.575 -1.542 4.239
Rh -1.575 -1.542 4.239
Rh 4.724 4.625 0.345
Rh 1.575 4.625 0.345
Rh 0.000 3.309 2.292
Rh 3.149 -0.226 2.292
```

Computed properties:
calculated density: 9299 kg/m³
total magnetization: 0.0 μB/cell
crystal system: orthorhombic
energy above the lowest structure with this stoichiometry: 80 kJ/mol of formula units
energy of formation from the pure elements: -0.741 eV per atom

---

Record 2
The following is a DFT calculation (PBE) of a geometry-optimized DySiNi11 structure.

Cell and atoms, written as extended XYZ:
```
13
Lattice="-4.327 -1.551 -0.840 -0.677 -5.796 2.103 -3.895 1.285 4.700" Properties=species:S:1:pos:R:3 pbc="T T T"
Dy 0.000 0.000 0.000
Si -2.502 -3.673 0.632
Ni -2.253 -1.468 1.279
Ni -6.647 -4.593 4.684
Ni -3.520 -4.964 2.257
Ni -5.379 -1.098 3.706
Ni -4.447 -3.448 4.109
Ni -4.453 -2.614 1.854
Ni -2.797 -1.234 3.776
Ni -6.102 -4.828 2.187
Ni -0.339 -2.898 1.051
Ni -4.111 -0.133 1.930
Ni -1.948 0.642 2.350
```

Computed properties:
calculated density: 8843 kg/m³
total magnetization: 2.5 μB/cell
uncorrected formation energy: -271 meV/atom
crystal system: monoclinic

---

Record 3
The following is a DFT calculation (PBE) of a geometry-optimized LaPd2Br structure.

Cell and atoms, written as extended XYZ:
```
8
Lattice="-5.202 5.950 -0.986 -2.939 -3.638 -6.446 -5.997 -0.251 -2.044" Properties=species:S:1:pos:R:3 pbc="T T T"
Br -4.071 1.156 -3.716
Br -6.503 -1.367 -6.103
Pd -5.069 3.146 -1.924
Pd -4.035 -1.537 -4.672
Pd -7.578 0.645 -4.380
Pd -11.594 1.868 -7.976
La 0.000 0.000 0.000
La -7.635 3.427 -3.373
```

Computed properties:
calculated density: 7759 kg/m³
total magnetization: 0.0 μB/cell
uncorrected formation energy: -561 meV/atom
crystal system: tetragonal
energy above the lowest structure with this stoichiometry: 0 kJ/mol of formula units

---

Record 4
The following is a DFT calculation (PBE) of a geometry-optimized NaLa2CoAu structure.

Cell and atoms, written as extended XYZ:
```
5
Lattice="5.183 0.000 0.000 0.000 5.183 0.000 0.000 0.000 5.156" Properties=species:S:1:pos:R:3 pbc="T T T"
Na 2.592 2.592 2.578
Co 0.000 0.000 0.000
Au 0.000 0.000 2.578
La 0.000 2.592 0.000
La 2.592 0.000 0.000
```

Computed properties:
calculated density: 6673 kg/m³
total magnetization: 0.0 μB/cell
crystal system: tetragonal
energy of formation from the pure elements: -0.158 eV per atom

---

Record 5
The following is a DFT calculation (PBE) of a geometry-optimized Cu2AgAu2 structure.

Cell and atoms, written as extended XYZ:
```
10
Lattice="4.364 0.004 -1.430 -0.750 5.070 -2.273 -0.034 0.156 7.274" Properties=species:S:1:pos:R:3 pbc="T T T"
Cu 3.316 1.609 -0.936
Cu 2.938 4.163 -2.081
Cu 0.642 1.067 5.653
Cu 0.265 3.621 4.508
Ag 1.522 0.655 0.959
Ag 2.059 4.575 2.612
Au 2.456 2.074 3.817
Au 3.783 3.882 0.498
Au -0.203 1.348 3.074
Au 1.125 3.156 -0.245
```

Computed properties:
calculated density: 12858 kg/m³
total magnetization: 0.0 μB/cell
crystal system: orthorhombic
energy above the lowest structure with this stoichiometry: 6 kJ/mol of formula units
energy of formation from the pure elements: 0.031 eV per atom

---

Record 6
The following is a DFT calculation (PBE) of a geometry-optimized TcHg4Au structure.

Cell and atoms, written as extended XYZ:
```
6
Lattice="0.000 4.051 4.051 4.051 0.000 4.051 4.051 4.051 0.000" Properties=species:S:1:pos:R:3 pbc="T T T"
Tc 6.077 6.077 6.077
Hg 5.063 3.040 5.063
Hg 3.040 5.063 5.063
Hg 5.063 5.063 3.040
Hg 3.040 3.040 3.040
Au 0.000 0.000 0.000
```

Computed properties:
calculated density: 13703 kg/m³
total magnetization: 3.1 μB/cell
crystal system: cubic
energy of formation from the pure elements: 0.807 eV per atom